# K5HfInMo6O24

Crystalline K5HfInMo6O24 at its relaxed geometry (GGA+U, the Alexandria database).

```
K5HfInMo6O24
1.0
5.401 3.119 12.889
-5.401 3.119 12.889
0.000 -6.237 12.889
K Hf In Mo O
10 2 2 12 48
direct
0.000 0.000 0.000
0.007 0.217 0.590
0.120 0.705 0.475
0.203 0.203 0.203
0.217 0.590 0.007
0.475 0.120 0.705
0.497 0.497 0.497
0.590 0.007 0.217
0.705 0.475 0.120
0.713 0.713 0.713
0.602 0.602 0.602
0.852 0.852 0.852
0.102 0.102 0.102
0.353 0.353 0.353
0.091 0.329 0.736
0.114 0.470 0.877
0.234 0.824 0.594
0.329 0.736 0.091
0.382 0.969 0.610
0.470 0.877 0.114
0.594 0.234 0.824
0.610 0.382 0.969
0.736 0.091 0.329
0.824 0.594 0.234
0.877 0.114 0.470
0.969 0.610 0.382
0.003 0.286 0.736
0.032 0.051 0.322
0.051 0.322 0.032
0.056 0.844 0.755
0.143 0.451 0.358
0.158 0.171 0.881
0.171 0.881 0.158
0.202 0.465 0.924
0.211 0.954 0.737
0.238 0.773 0.511
0.239 0.449 0.711
0.247 0.994 0.470
0.250 0.353 0.559
0.286 0.736 0.003
0.322 0.032 0.051
0.353 0.559 0.250
0.358 0.143 0.451
0.390 0.674 0.648
0.437 0.965 0.690
0.449 0.711 0.239
0.451 0.358 0.143
0.465 0.924 0.202
0.470 0.247 0.994
0.494 0.761 0.968
0.511 0.238 0.773
0.530 0.814 0.552
0.552 0.530 0.814
0.559 0.250 0.353
0.648 0.390 0.674
0.652 0.856 0.955
0.674 0.648 0.390
0.690 0.437 0.965
0.711 0.239 0.449
0.736 0.003 0.286
0.737 0.211 0.954
0.755 0.056 0.844
0.761 0.968 0.494
0.773 0.511 0.238
0.814 0.552 0.530
0.844 0.755 0.056
0.856 0.955 0.652
0.881 0.158 0.171
0.924 0.202 0.465
0.954 0.737 0.211
0.955 0.652 0.856
0.965 0.690 0.437
0.968 0.494 0.761
0.994 0.470 0.247
```

Computed properties:
The energy is -0.498 Ry/atom. The value obtained for the magnetic moment is 0.2 μB/f.u.